(1)
Density functional theory data (PBE-GGA) for a geometry-optimized Tc2AgTe2 structure.

Values from the calculation:
Crystal system ... tetragonal
Excess energy over the best structure of this formula in the dataset ... 30 kJ/mol of formula units
Density ... 9.7 g cm⁻³

Cell lengths 7.773, 7.773, 3.174 Å; angles 90.00, 90.00, 90.00 degrees
Space group P4/mbm (No. 127)
Asymmetric unit:
Tc  0.143  0.357  0.000
Ag  0.000  0.000  0.500
Te  0.150  0.650  0.500

***

(2)
Density functional theory data (PBE-GGA) for a geometry-optimized TcAg2Te structure.

Values from the calculation:
Crystal system ... tetragonal
Density ... 9.8 g cm⁻³

Cell lengths 3.962, 3.962, 4.771 Å; angles 90.00, 90.00, 90.00 degrees
Space group P4/mmm (No. 123)
Asymmetric unit:
Tc  0.000  0.000  0.000
Ag  0.000  0.500  0.500
Te  0.500  0.500  0.000

***

(3)
Density functional theory data (PBE-GGA) for a geometry-optimized TcAgTe2 structure.

Values from the calculation:
Crystal system ... monoclinic
Excess energy over the best structure of this formula in the dataset ... 45 kJ/mol of formula units
Density ... 6.7 g cm⁻³

Cell lengths 10.545, 3.308, 7.192 Å; angles 90.00, 114.17, 90.00 degrees
Space group Cm (No. 8)
Asymmetric unit:
Tc  0.000  0.000  0.000
Ag  0.218  0.500  0.996
Te  0.000  0.500  0.281
Te  0.332  0.000  0.729

***

(4)
Density functional theory data (PBE-GGA) for a geometry-optimized TcAgTe2 structure.

Values from the calculation:
Crystal system ... tetragonal
Excess energy over the best structure of this formula in the dataset ... 188 kJ/mol of formula units
Density ... 8.7 g cm⁻³

Cell lengths 4.131, 4.131, 10.299 Å; angles 90.00, 90.00, 90.00 degrees
Space group I-4m2 (No. 119)
Asymmetric unit:
Tc  0.000  0.000  0.000
Ag  0.000  0.500  0.250
Te  0.000  0.000  0.500
Te  0.000  0.500  0.750

***

Q: Which uncorrected formation energy values were calculated for the entries above? A: 0.4909; 0.5175; 0.2481; 0.6180, in eV/atom.
Q: Which electronic total energy values were calculated for the entries above? A: -5.4824; -4.2851; -4.6271; -4.2571, in eV per atom.